1.
An optimized crystal structure of Tb3Dy4Y8, computed with GGA-PBE.

Values from the calculation:
calculated density = 6094 kg/m³
volume = 500.9 Å³ per cell
calculated formation energy = 0.399 eV/atom
relative energy among the computed polymorphs = 246 meV per atom
total moment = 0.00 μB/atom

Unit cell a=9.2748 b=9.2748 c=6.7432 alpha=111.31 beta=111.31 gamma=87.43
Fractional positions:
1 Tb 0.0000 0.0000 0.0000
2 Tb 0.0000 0.5000 0.0000
3 Tb 0.5000 0.0000 0.0000
4 Dy 0.0000 0.5000 0.5000
5 Dy 0.5000 0.0000 0.5000
6 Dy 0.5000 0.5000 0.0000
7 Dy 0.5000 0.5000 0.5000
8 Y 0.1427 0.8573 0.5000
9 Y 0.2336 0.2336 0.9719
10 Y 0.2349 0.2349 0.4935
11 Y 0.2487 0.7513 0.0000
12 Y 0.7513 0.2487 0.0000
13 Y 0.7651 0.7651 0.5065
14 Y 0.7664 0.7664 0.0281
15 Y 0.8573 0.1427 0.5000


2.
An optimized crystal structure of Ba2SmAs2Br2, computed with GGA-PBE.

Values from the calculation:
calculated density = 4649 kg/m³
ΔE_f (raw) = -142 kJ per mole of atoms
volume = 262.4 Å³ per cell
total moment = 0.00 μB/atom

Unit cell a=9.2792 b=9.2792 c=9.2792 alpha=144.94 beta=144.94 gamma=50.43
Fractional positions:
1 Ba 0.1223 0.1223 0.0000
2 Ba 0.8777 0.8777 0.0000
3 Sm 0.5000 0.5000 0.0000
4 As 0.0000 0.5000 0.5000
5 As 0.5000 0.0000 0.5000
6 Br 0.3172 0.3172 0.0000
7 Br 0.6828 0.6828 0.0000


3.
An optimized crystal structure of Li2SiRh, computed with GGA-PBE.

Values from the calculation:
calculated density = 4563 kg/m³
ΔE_f (raw) = -37 kJ per mole of atoms
volume = 52.7 Å³ per cell
total moment = 0.00 μB/atom

Unit cell a=2.7851 b=4.4868 c=4.2440 alpha=90.00 beta=96.17 gamma=90.00
Fractional positions:
1 Li 0.2450 0.0000 0.2438
2 Li 0.7550 0.0000 0.7562
3 Si 0.0000 0.5000 0.5000
4 Rh 0.5000 0.5000 0.0000